A plane-wave DFT calculation with PBE was carried out for a relaxed structure of Cd3Mo4.

The structure in POSCAR format:
```
Cd3Mo4
1.0
-6.2660 -4.7092 9.0629
-8.0512 -0.4020 8.8652
5.5376 1.8146 -10.4699
Cd Mo
3 4
direct
0.0000 0.0000 0.0000
0.7096 0.7096 0.0000
0.2904 0.2904 0.0000
0.8719 0.8719 0.0000
0.5782 0.5782 0.0000
0.4218 0.4218 0.0000
0.1281 0.1281 0.0000
```

Results
As for the space group: I4/mmm (139). For the formation energy from the elements, the calculation gives 0.30 eV per atom.